Here is a relaxed PrEr4Ag4 crystal from Alexandria via LeMat-Bulk. Energies are from PBE.

The structure in POSCAR format:
```
PrEr4Ag4
1.0
-0.1038 0.2121 5.8790
-6.4738 -6.8980 0.1345
6.8973 -6.4662 0.3551
Pr Er Ag
2 8 8
direct
0.0000 0.0000 0.0000
0.5000 0.5000 0.5000
0.4023 0.3409 0.9010
0.9023 0.5990 0.8409
0.4023 0.6591 0.0990
0.0977 0.1591 0.5990
0.5977 0.9010 0.6591
0.0977 0.8409 0.4010
0.9023 0.4010 0.1591
0.5977 0.0990 0.3409
0.6000 0.7884 0.3594
0.6000 0.2116 0.6406
0.1000 0.8594 0.7116
0.9000 0.2884 0.8594
0.9000 0.7116 0.1406
0.4000 0.3594 0.2116
0.4000 0.6406 0.7884
0.1000 0.1406 0.2884
```

N(E_F) (states/eV per atom): 1.3390
Formation energy (meV/atom): -34
VASP energy (Ry/atom): -0.2837
Density (g cm⁻³): 7.83